(1)
Below is a relaxed structure of Pr2CdCo, with properties calculated at the PBE level.

The structure in POSCAR format:
```
Pr2CdCo
1.0
4.015 0.000 0.000
-2.007 3.477 0.000
0.000 0.000 24.386
Pr Cd Co
6 3 3
Direct
0.000 0.000 0.000
0.000 0.000 0.208
0.333 0.667 0.667
0.333 0.667 0.874
0.667 0.333 0.333
0.667 0.333 0.541
0.000 0.000 0.437
0.333 0.667 0.104
0.667 0.333 0.771
0.000 0.000 0.603
0.333 0.667 0.270
0.667 0.333 0.936
```

Output
**Calculated volume**: 340.4 Å³ per cell
**Crystal system**: trigonal
**Distance to the lowest polymorph of the same formula**: 0.22 eV per formula unit
**Symmetry**: R3m (160)

=====

(2)
Below is a relaxed structure of Pr6CdCo2, with properties calculated at the PBE level.

The structure in POSCAR format:
```
Pr6CdCo2
1.0
-4.841 5.088 5.163
4.841 -5.088 5.163
4.841 5.088 -5.163
Pr Cd Co
12 2 4
Direct
0.029 0.233 0.796
0.182 0.285 0.467
0.182 0.715 0.896
0.323 0.009 0.686
0.323 0.637 0.314
0.437 0.233 0.204
0.563 0.767 0.796
0.677 0.363 0.686
0.677 0.991 0.314
0.818 0.285 0.104
0.818 0.715 0.533
0.971 0.767 0.204
0.000 0.000 0.000
0.500 0.500 0.000
0.111 0.611 0.500
0.337 0.000 0.337
0.663 0.000 0.663
0.889 0.389 0.500
```

Output
**Calculated volume**: 508.7 Å³ per cell
**Crystal system**: orthorhombic
**Distance to the lowest polymorph of the same formula**: 0.00 eV per formula unit
**Symmetry**: Immm (71)

=====

(3)
Below is a relaxed structure of Pr2CdCo, with properties calculated at the PBE level.

The structure in POSCAR format:
```
Pr2CdCo
1.0
13.150 0.000 0.000
0.000 3.742 0.000
-3.912 0.000 8.653
Pr Cd Co
8 4 4
Direct
0.094 0.000 0.221
0.132 0.000 0.656
0.368 0.500 0.344
0.406 0.500 0.779
0.594 0.500 0.221
0.632 0.500 0.656
0.868 0.000 0.344
0.906 0.000 0.779
0.152 0.500 0.967
0.348 0.000 0.033
0.652 0.000 0.967
0.848 0.500 0.033
0.197 0.500 0.478
0.303 0.000 0.522
0.697 0.000 0.478
0.803 0.500 0.522
```

Output
**Calculated volume**: 425.8 Å³ per cell
**Crystal system**: monoclinic
**Distance to the lowest polymorph of the same formula**: 0.00 eV per formula unit
**Symmetry**: C2/m (12)

=====

(4)
Below is a relaxed structure of Pr4CdCo, with properties calculated at the PBE level.

The structure in POSCAR format:
```
Pr4CdCo
1.0
6.145 0.000 0.000
-1.787 8.161 0.000
-1.786 -4.095 7.066
Pr Cd Co
8 2 2
Direct
0.074 0.430 0.297
0.148 0.834 0.196
0.352 0.304 0.666
0.424 0.201 0.069
0.576 0.799 0.931
0.648 0.696 0.334
0.852 0.166 0.804
0.926 0.570 0.703
0.250 0.880 0.619
0.750 0.120 0.381
0.250 0.498 0.002
0.750 0.502 0.998
```

Output
**Calculated volume**: 354.4 Å³ per cell
**Crystal system**: triclinic
**Distance to the lowest polymorph of the same formula**: 0.53 eV per formula unit
**Symmetry**: P-1 (2)

=====

Ordered formation energy results: -58; -111; -113; -84; unit meV per atom.